Entry 1:
PBE Rb2CaHgCl6, optimized geometry; raw total energy = -3.200 eV/atom; magnetization = 0.0 μB/f.u.; formation energy from raw total energies = -1669 meV/atom; SG = No. 225
1.0
0.0000 5.3914 5.3914
5.3914 0.0000 5.3914
5.3914 5.3914 0.0000
Rb Ca Hg Cl
2 1 1 6
Direct
0.2500 0.2500 0.2500 Rb
0.7500 0.7500 0.7500 Rb
0.0000 0.0000 0.0000 Ca
0.5000 0.5000 0.5000 Hg
0.2511 0.2511 0.7489 Cl
0.2511 0.7489 0.2511 Cl
0.2511 0.7489 0.7489 Cl
0.7489 0.2511 0.2511 Cl
0.7489 0.2511 0.7489 Cl
0.7489 0.7489 0.2511 Cl

=====

Entry 2:
PBE TlCdFe2, optimized geometry; raw total energy = -4.525 eV/atom; calculated formation energy = 0.53 eV/atom; magnetization = 5.4 μB/f.u.; SG = No. 10
1.0
2.9301 0.0000 0.0000
0.0000 4.0807 0.0000
-0.0394 0.0000 5.8190
Tl Cd Fe
1 1 2
Direct
0.0000 0.0000 0.0000 Tl
0.0000 0.0000 0.5000 Cd
0.4983 0.5000 0.2746 Fe
0.5017 0.5000 0.7254 Fe

=====

Entry 3:
PBE BaLiTl2I5, optimized geometry; raw total energy = -2.950 eV/atom; magnetization = 0.0 μB/f.u.; formation energy from raw total energies = -1136 meV/atom; SG = No. 36
1.0
2.4545 -10.5059 0.0000
2.4545 10.5059 0.0000
0.0000 0.0000 15.2097
Ba Li Tl I
2 2 4 10
Direct
0.1955 0.8045 0.5000 Ba
0.8045 0.1955 0.0000 Ba
0.4488 0.5512 0.8788 Li
0.5512 0.4488 0.3788 Li
0.0938 0.9062 0.1282 Tl
0.1146 0.8854 0.8034 Tl
0.8854 0.1146 0.3034 Tl
0.9062 0.0938 0.6282 Tl
0.0296 0.9704 0.4672 I
0.2900 0.7100 0.1567 I
0.3184 0.6816 0.8415 I
0.3582 0.6418 0.4712 I
0.4918 0.5082 0.2197 I
0.5082 0.4918 0.7197 I
0.6418 0.3582 0.9712 I
0.6816 0.3184 0.3415 I
0.7100 0.2900 0.6567 I
0.9704 0.0296 0.9672 I

=====

Entry 4:
PBE MgZr2ScB, optimized geometry; raw total energy = -6.475 eV/atom; calculated formation energy = -0.14 eV/atom; magnetization = 0.0 μB/f.u.; SG = No. 123
1.0
4.6884 0.0000 0.0000
0.0000 4.6884 0.0000
0.0000 0.0000 4.7400
Mg Zr Sc B
1 2 1 1
Direct
0.0000 0.0000 0.0000 Mg
0.0000 0.5000 0.5000 Zr
0.5000 0.0000 0.5000 Zr
0.5000 0.5000 0.0000 Sc
0.5000 0.5000 0.5000 B

=====

Entry 5:
PBE Li2CdAg, optimized geometry; raw total energy = -2.068 eV/atom; calculated formation energy = -0.17 eV/atom; magnetization = 0.0 μB/f.u.; SG = No. 99
1.0
3.4362 0.0000 0.0000
0.0000 3.4362 0.0000
0.0000 0.0000 6.0721
Li Cd Ag
2 1 1
Direct
0.0000 0.0000 0.0000 Li
0.5000 0.5000 0.2597 Li
0.5000 0.5000 0.7543 Cd
0.0000 0.0000 0.4779 Ag

=====

Entry 6:
PBE In4H2Br5, optimized geometry; raw total energy = -2.754 eV/atom; magnetization = 0.0 μB/f.u.; SG = No. 2
1.0
4.1954 0.0000 0.0000
0.0089 8.0333 0.0000
2.0595 2.5459 9.4295
In H Br
4 2 5
Direct
0.0064 0.2890 0.4829 In
0.3355 0.4147 0.8331 In
0.6645 0.5853 0.1669 In
0.9936 0.7110 0.5171 In
0.4265 0.5215 0.6429 H
0.5735 0.4785 0.3571 H
0.1585 0.8193 0.1807 Br
0.1855 0.3237 0.1296 Br
0.5000 0.0000 0.5000 Br
0.8145 0.6763 0.8704 Br
0.8415 0.1807 0.8193 Br

=====

magnetization of number 5 (Li2CdAg)? 0.0 μB/f.u.

=====

Please write out number 3 again, unchanged.
PBE BaLiTl2I5, optimized geometry; raw total energy = -2.950 eV/atom; magnetization = 0.0 μB/f.u.; formation energy from raw total energies = -1136 meV/atom; SG = No. 36
1.0
2.4545 -10.5059 0.0000
2.4545 10.5059 0.0000
0.0000 0.0000 15.2097
Ba Li Tl I
2 2 4 10
Direct
0.1955 0.8045 0.5000 Ba
0.8045 0.1955 0.0000 Ba
0.4488 0.5512 0.8788 Li
0.5512 0.4488 0.3788 Li
0.0938 0.9062 0.1282 Tl
0.1146 0.8854 0.8034 Tl
0.8854 0.1146 0.3034 Tl
0.9062 0.0938 0.6282 Tl
0.0296 0.9704 0.4672 I
0.2900 0.7100 0.1567 I
0.3184 0.6816 0.8415 I
0.3582 0.6418 0.4712 I
0.4918 0.5082 0.2197 I
0.5082 0.4918 0.7197 I
0.6418 0.3582 0.9712 I
0.6816 0.3184 0.3415 I
0.7100 0.2900 0.6567 I
0.9704 0.0296 0.9672 I

=====

Among the records above, which one has the lowest raw total energy? MgZr2ScB